[1]
VASP calculation (PBE) on a geometry-optimized Cs2CdSe2 structure.

## Properties
**SG**: I4/mmm (139)
**Magnetic moment**: 0.00 μB per cell
**D(E_F)**: 2.25 states/eV/cell
**Energy relative to the elements, uncorrected**: -0.333 eV per atom
**Volume**: 209 Å³ per cell
**Total DFT energy (no corrections)**: -0.0827 hartree per atom

Lattice parameters (Å, degrees): 4.219 4.219 12.098 79.96 79.96 90.00
Sites, in units of the cell vectors:
Cs1 0.370 0.370 0.260
Cs2 0.630 0.630 0.740
Se1 0.750 0.250 0.500
Se2 0.250 0.750 0.500
Cd1 0.000 0.000 0.000

***

[2]
VASP calculation (PBE) on a geometry-optimized CsCdSe structure.

## Properties
**SG**: Cm (8)
**Magnetic moment**: 0.00 μB per cell
**Energy relative to the elements, uncorrected**: -0.732 eV per atom
**Volume**: 455 Å³ per cell
**Total DFT energy (no corrections)**: -0.0912 hartree per atom

Lattice parameters (Å, degrees): 10.060 4.400 13.390 90.00 129.84 90.00
Sites, in units of the cell vectors:
Cs1 0.894 0.000 0.344
Cs2 0.894 0.500 0.844
Cs3 0.557 0.000 0.446
Cs4 0.557 0.500 0.946
Se1 0.303 0.000 0.981
Se2 0.303 0.500 0.481
Se3 0.929 0.000 0.092
Se4 0.929 0.500 0.592
Cd1 0.334 0.000 0.628
Cd2 0.334 0.500 0.128
Cd3 0.139 0.000 0.717
Cd4 0.139 0.500 0.217

***

[3]
VASP calculation (PBE) on a geometry-optimized Cs6CdSe4 structure.

## Properties
**SG**: P6_3mc (186)
**Magnetic moment**: 0.00 μB per cell
**D(E_F)**: 0.00 states/eV/cell
**Energy relative to the elements, uncorrected**: -1.067 eV per atom
**Volume**: 968 Å³ per cell
**Total DFT energy (no corrections)**: -0.1059 hartree per atom

Lattice parameters (Å, degrees): 8.819 11.258 11.258 120.00 90.00 90.00
Sites, in units of the cell vectors:
Cs1 0.459 0.705 0.853
Cs2 0.459 0.147 0.295
Cs3 0.459 0.147 0.853
Cs4 0.959 0.295 0.147
Cs5 0.959 0.853 0.705
Cs6 0.959 0.853 0.147
Cs7 0.633 0.940 0.470
Cs8 0.633 0.530 0.060
Cs9 0.633 0.530 0.470
Cs10 0.133 0.060 0.530
Cs11 0.133 0.470 0.940
Cs12 0.133 0.470 0.530
Cd1 0.748 0.333 0.667
Cd2 0.248 0.667 0.333
Se1 0.433 0.333 0.667
Se2 0.933 0.667 0.333
Se3 0.845 0.604 0.802
Se4 0.845 0.198 0.396
Se5 0.845 0.198 0.802
Se6 0.345 0.396 0.198
Se7 0.345 0.802 0.604
Se8 0.345 0.802 0.198

***

[4]
VASP calculation (PBE) on a geometry-optimized CsCd2Se2 structure.

## Properties
**SG**: I4/mmm (139)
**Magnetic moment**: 0.00 μB per cell
**D(E_F)**: 3.34 states/eV/cell
**Energy relative to the elements, uncorrected**: -0.595 eV per atom
**Volume**: 171 Å³ per cell
**Total DFT energy (no corrections)**: -0.0928 hartree per atom

Lattice parameters (Å, degrees): 4.883 4.883 7.944 72.10 72.10 90.00
Sites, in units of the cell vectors:
Cs1 0.000 0.000 0.000
Se1 0.350 0.350 0.301
Se2 0.650 0.650 0.699
Cd1 0.750 0.250 0.500
Cd2 0.250 0.750 0.500

***

[5]
VASP calculation (PBE) on a geometry-optimized CsCdSe structure.

## Properties
**SG**: P-1 (2)
**Magnetic moment**: 0.00 μB per cell
**Energy relative to the elements, uncorrected**: -0.794 eV per atom
**Volume**: 206 Å³ per cell
**Total DFT energy (no corrections)**: -0.0935 hartree per atom

Lattice parameters (Å, degrees): 4.515 6.407 8.037 92.51 106.19 110.62
Sites, in units of the cell vectors:
Cs1 0.284 0.218 0.852
Cs2 0.716 0.782 0.148
Cd1 0.409 0.774 0.544
Cd2 0.591 0.226 0.456
Se1 0.922 0.626 0.720
Se2 0.078 0.374 0.280

***

[6]
VASP calculation (PBE) on a geometry-optimized Cs2CdSe2 structure.

## Properties
**SG**: Cmc2_1 (36)
**Magnetic moment**: 0.00 μB per cell
**Energy relative to the elements, uncorrected**: -0.958 eV per atom
**Volume**: 419 Å³ per cell
**Total DFT energy (no corrections)**: -0.1057 hartree per atom

Lattice parameters (Å, degrees): 4.532 8.136 11.580 90.00 101.28 90.00
Sites, in units of the cell vectors:
Cs1 0.028 0.296 0.056
Cs2 0.196 0.514 0.392
Cs3 0.804 0.014 0.608
Cs4 0.972 0.796 0.944
Cd1 0.630 0.896 0.261
Cd2 0.370 0.396 0.739
Se1 0.578 0.618 0.156
Se2 0.167 0.041 0.335
Se3 0.833 0.541 0.665
Se4 0.422 0.118 0.844

***

[7]
VASP calculation (PBE) on a geometry-optimized Cs2CdSe2 structure.

## Properties
**SG**: P4/mbm (127)
**Magnetic moment**: 0.00 μB per cell
**D(E_F)**: 0.28 states/eV/cell
**Energy relative to the elements, uncorrected**: -0.648 eV per atom
**Volume**: 369 Å³ per cell
**Total DFT energy (no corrections)**: -0.0943 hartree per atom

Lattice parameters (Å, degrees): 8.110 8.110 5.614 90.00 90.00 90.00
Sites, in units of the cell vectors:
Cs1 0.151 0.651 0.500
Cs2 0.651 0.849 0.500
Cs3 0.849 0.349 0.500
Cs4 0.349 0.151 0.500
Se1 0.325 0.825 0.000
Se2 0.825 0.675 0.000
Se3 0.675 0.175 0.000
Se4 0.175 0.325 0.000
Cd1 0.000 0.000 0.000
Cd2 0.500 0.500 0.000

***

[8]
VASP calculation (PBE) on a geometry-optimized Cs2Cd2Se structure.

## Properties
**SG**: I4/mmm (139)
**Magnetic moment**: 0.00 μB per cell
**D(E_F)**: 4.62 states/eV/cell
**Energy relative to the elements, uncorrected**: -0.261 eV per atom
**Volume**: 237 Å³ per cell
**Total DFT energy (no corrections)**: -0.0612 hartree per atom

Lattice parameters (Å, degrees): 7.393 7.393 6.792 57.03 57.03 90.00
Sites, in units of the cell vectors:
Cs1 0.750 0.250 0.500
Cs2 0.250 0.750 0.500
Se1 0.000 0.000 0.000
Cd1 0.325 0.325 0.350
Cd2 0.675 0.675 0.650

***

[9]
VASP calculation (PBE) on a geometry-optimized CsCdSe structure.

## Properties
**SG**: Cm (8)
**Magnetic moment**: 0.00 μB per cell
**Energy relative to the elements, uncorrected**: -0.720 eV per atom
**Volume**: 459 Å³ per cell
**Total DFT energy (no corrections)**: -0.0908 hartree per atom

Lattice parameters (Å, degrees): 7.308 5.353 12.155 90.00 105.05 90.00
Sites, in units of the cell vectors:
Cs1 0.166 0.000 0.195
Cs2 0.166 0.500 0.695
Cs3 0.493 0.000 0.911
Cs4 0.493 0.500 0.411
Se1 0.384 0.000 0.585
Se2 0.384 0.500 0.085
Se3 0.960 0.000 0.858
Se4 0.960 0.500 0.358
Cd1 0.979 0.000 0.474
Cd2 0.979 0.500 0.974
Cd3 0.761 0.000 0.637
Cd4 0.761 0.500 0.137

***

[10]
VASP calculation (PBE) on a geometry-optimized Cs2Cd2Se structure.

## Properties
**SG**: P4/mbm (127)
**Magnetic moment**: 0.00 μB per cell
**D(E_F)**: 4.01 states/eV/cell
**Energy relative to the elements, uncorrected**: -0.281 eV per atom
**Volume**: 405 Å³ per cell
**Total DFT energy (no corrections)**: -0.0619 hartree per atom

Lattice parameters (Å, degrees): 8.503 8.503 5.603 90.00 90.00 90.00
Sites, in units of the cell vectors:
Cs1 0.184 0.684 0.500
Cs2 0.684 0.816 0.500
Cs3 0.816 0.316 0.500
Cs4 0.316 0.184 0.500
Se1 0.000 0.000 0.000
Se2 0.500 0.500 0.000
Cd1 0.372 0.872 0.000
Cd2 0.872 0.628 0.000
Cd3 0.628 0.128 0.000
Cd4 0.128 0.372 0.000

***

[11]
VASP calculation (PBE) on a geometry-optimized CsCdSe structure.

## Properties
**SG**: C2 (5)
**Magnetic moment**: 0.00 μB per cell
**Energy relative to the elements, uncorrected**: -0.741 eV per atom
**Volume**: 543 Å³ per cell
**Total DFT energy (no corrections)**: -0.0916 hartree per atom

Lattice parameters (Å, degrees): 7.029 6.776 11.749 90.00 103.87 90.00
Sites, in units of the cell vectors:
Cs1 0.198 0.912 0.379
Cs2 0.802 0.912 0.621
Cs3 0.198 0.412 0.879
Cs4 0.802 0.412 0.121
Se1 0.679 0.064 0.321
Se2 0.321 0.064 0.679
Se3 0.679 0.564 0.821
Se4 0.321 0.564 0.179
Cd1 0.498 0.896 0.118
Cd2 0.502 0.896 0.882
Cd3 0.498 0.396 0.618
Cd4 0.502 0.396 0.382

***

[12]
VASP calculation (PBE) on a geometry-optimized CsCd2Se2 structure.

## Properties
**SG**: C2/c (15)
**Magnetic moment**: 0.00 μB per cell
**D(E_F)**: 3.45 states/eV/cell
**Energy relative to the elements, uncorrected**: -0.631 eV per atom
**Volume**: 348 Å³ per cell
**Total DFT energy (no corrections)**: -0.0941 hartree per atom

Lattice parameters (Å, degrees): 7.640 7.640 7.703 110.35 110.35 107.17
Sites, in units of the cell vectors:
Cs1 0.875 0.625 0.750
Cs2 0.125 0.375 0.250
Cd1 0.242 0.991 0.485
Cd2 0.491 0.742 0.985
Cd3 0.758 0.009 0.515
Cd4 0.509 0.258 0.015
Se1 0.183 0.317 0.750
Se2 0.433 0.067 0.250
Se3 0.567 0.933 0.750
Se4 0.817 0.683 0.250

***

Repeat the sixth record exactly.
VASP calculation (PBE) on a geometry-optimized Cs2CdSe2 structure.

## Properties
**SG**: Cmc2_1 (36)
**Magnetic moment**: 0.00 μB per cell
**Energy relative to the elements, uncorrected**: -0.958 eV per atom
**Volume**: 419 Å³ per cell
**Total DFT energy (no corrections)**: -0.1057 hartree per atom

Lattice parameters (Å, degrees): 4.532 8.136 11.580 90.00 101.28 90.00
Sites, in units of the cell vectors:
Cs1 0.028 0.296 0.056
Cs2 0.196 0.514 0.392
Cs3 0.804 0.014 0.608
Cs4 0.972 0.796 0.944
Cd1 0.630 0.896 0.261
Cd2 0.370 0.396 0.739
Se1 0.578 0.618 0.156
Se2 0.167 0.041 0.335
Se3 0.833 0.541 0.665
Se4 0.422 0.118 0.844

***

What did the first record say?
VASP calculation (PBE) on a geometry-optimized Cs2CdSe2 structure.

## Properties
**SG**: I4/mmm (139)
**Magnetic moment**: 0.00 μB per cell
**D(E_F)**: 2.25 states/eV/cell
**Energy relative to the elements, uncorrected**: -0.333 eV per atom
**Volume**: 209 Å³ per cell
**Total DFT energy (no corrections)**: -0.0827 hartree per atom

Lattice parameters (Å, degrees): 4.219 4.219 12.098 79.96 79.96 90.00
Sites, in units of the cell vectors:
Cs1 0.370 0.370 0.260
Cs2 0.630 0.630 0.740
Se1 0.750 0.250 0.500
Se2 0.250 0.750 0.500
Cd1 0.000 0.000 0.000

***

- Among the records above, which one has the lowest volume?
  number 4

***

- What is the volume in the ninth record?
  459 Å³ per cell